A relaxed SrNiS crystal, computed with PBE.

a b c (Å): 4.1608 4.1698 8.5115
angles (deg): 76.00 80.61 69.90
Fractional positions:
Sr: 0.0000 0.0000 0.0000
Sr: 0.2189 0.1150 0.4222
Ni: 0.0215 0.5548 0.6976
Ni: 0.6006 0.1293 0.7017
S: 0.4794 0.6441 0.7439
S: 0.6148 0.5592 0.2109

Computed properties:
As for the space group: P1. The formation energy (no corrections) comes out at -102 kJ/mol of atoms.

---

A relaxed SrNiS crystal, computed with PBE.

a b c (Å): 3.9898 4.1265 7.7258
angles (deg): 90.00 92.04 90.00
Fractional positions:
Sr: 0.0000 0.0000 0.0000
Sr: 0.5000 0.0000 0.5000
Ni: 0.0132 0.5000 0.6770
Ni: 0.9868 0.5000 0.3230
S: 0.4798 0.5000 0.2164
S: 0.5202 0.5000 0.7836

Computed properties:
As for the space group: P2/m. The formation energy (no corrections) comes out at -96 kJ/mol of atoms.

---

A relaxed SrNiS crystal, computed with PBE.

a b c (Å): 7.4688 7.4688 7.4688
angles (deg): 148.28 148.28 45.47
Fractional positions:
Sr: 0.0000 0.0000 0.0000
Sr: 0.7500 0.2500 0.5000
Ni: 0.3361 0.8361 0.5000
Ni: 0.5861 0.5861 0.0000
S: 0.1655 0.6655 0.5000
S: 0.4155 0.4155 0.0000

Computed properties:
As for the space group: I4_1md. The formation energy (no corrections) comes out at -99 kJ/mol of atoms.

---

A relaxed SrNiS crystal, computed with PBE.

a b c (Å): 5.6339 5.6339 6.3396
angles (deg): 103.64 103.64 39.85
Fractional positions:
Sr: 0.0000 0.0000 0.0000
Sr: 0.6615 0.6615 0.5559
Ni: 0.3264 0.3264 0.2386
Ni: 0.9225 0.9225 0.4614
S: 0.3954 0.3954 0.6288
S: 0.7280 0.7280 0.0900

Computed properties:
As for the space group: Cm. The formation energy (no corrections) comes out at -94 kJ/mol of atoms.

---

A relaxed SrNiS crystal, computed with PBE.

a b c (Å): 4.3969 4.3969 7.3064
angles (deg): 90.00 90.00 90.00
Fractional positions:
Sr: 0.2500 0.2500 0.2007
Sr: 0.7500 0.7500 0.7993
Ni: 0.2500 0.2500 0.6044
Ni: 0.7500 0.7500 0.3956
S: 0.2500 0.7500 0.5000
S: 0.7500 0.2500 0.5000

Computed properties:
As for the space group: P4/nmm. The formation energy (no corrections) comes out at -56 kJ/mol of atoms.

---

A relaxed SrNi2S crystal, computed with PBE.

a b c (Å): 5.5312 3.9931 6.3426
angles (deg): 90.00 90.00 90.00
Fractional positions:
Sr: 0.2500 0.0000 0.1801
Sr: 0.7500 0.0000 0.8199
Ni: 0.0000 0.5000 0.5000
Ni: 0.2500 0.0000 0.6409
Ni: 0.5000 0.5000 0.5000
Ni: 0.7500 0.0000 0.3591
S: 0.2500 0.5000 0.7788
S: 0.7500 0.5000 0.2212

Computed properties:
As for the space group: Pmma. The formation energy (no corrections) comes out at -63 kJ/mol of atoms.

---

What is the formation energy (no corrections) in the first record? -102 kJ/mol of atoms